Here is a geometry-optimized Ac6Pr3Y structure from Alexandria. Energies are from PBE.

## Properties
The density comes out at 7.476 g/cm³. The formation energy comes out at 0.196 eV/atom.

Cell: 12.065 7.379 9.966 Å, 90.00 110.26 90.00°
Space group C2/m (No. 12)
Unique sites:
Ac1 0.127 0.000 0.415
Ac2 0.194 0.249 0.799
Pr1 0.000 0.500 0.500
Pr2 0.055 0.500 0.166
Y1 0.000 0.000 0.000

Here is a geometry-optimized Cs2HgSb structure from Alexandria. Energies are from PBE.

## Properties
The density comes out at 5.253 g/cm³. For the formation energy (no corrections), the calculation gives -0.9 eV per formula unit. As for the relative energy among the computed polymorphs: 0.54 eV/f.u.

Cell: 6.771 6.771 4.056 Å, 90.00 90.00 90.00°
Space group P4/mmm (No. 123)
Unique sites:
Cs1 0.000 0.500 0.000
Hg1 0.000 0.000 0.500
Sb1 0.500 0.500 0.500

Here is a geometry-optimized NaDyCu2F8 structure from Alexandria. Energies are from PBE.

## Properties
The density comes out at 4.914 g/cm³. For the formation energy (no corrections), the calculation gives -30.8 eV per formula unit.

Cell: 5.467 5.467 10.506 Å, 90.00 90.00 90.00°
Space group I-4 (No. 82)
Unique sites:
Na1 0.000 0.000 0.000
Dy1 0.000 0.500 0.250
Cu1 0.000 0.000 0.500
Cu2 0.000 0.500 0.750
F1 0.138 0.297 0.434
F2 0.168 0.788 0.807